# 1
Entry from the Alexandria database: an optimized crystal structure of Co2SbAu (PBE).

Lattice parameters (Å, degrees): 3.139 3.143 6.872 62.79 90.00 90.00
Site moments in Bohr magnetons follow the coordinates.
Sites, in units of the cell vectors:
Au1 0.500 0.750 0.750  -0.02
Co1 0.000 0.980 0.020  0.83
Co2 0.000 0.520 0.480  0.83
Sb1 0.500 0.250 0.250  -0.02

## Properties
Formation energy without anion corrections ... 0.24 eV per atom
Space group ... P4/mmm

# 2
Entry from the Alexandria database: an optimized crystal structure of Co2SbAu (PBE).

Lattice parameters (Å, degrees): 4.920 4.920 4.920 133.56 133.56 67.78
Site moments in Bohr magnetons follow the coordinates.
Sites, in units of the cell vectors:
Au1 0.250 0.750 0.500  0.03
Co1 0.000 0.000 0.000  1.31
Co2 0.750 0.250 0.500  1.42
Sb1 0.500 0.500 0.000  0.00

## Properties
Formation energy without anion corrections ... 0.27 eV per atom
Space group ... I-4m2

# 3
Entry from the Alexandria database: an optimized crystal structure of Co2SbAu (PBE).

Lattice parameters (Å, degrees): 3.969 3.969 9.539 77.99 77.99 90.00
Site moments in Bohr magnetons follow the coordinates.
Sites, in units of the cell vectors:
Sb1 0.500 0.500 0.000  0.00
Sb2 0.250 0.750 0.500  0.00
Au1 0.000 0.000 0.000  0.01
Au2 0.750 0.250 0.500  0.01
Co1 0.699 0.125 0.250  1.68
Co2 0.051 0.625 0.250  1.70
Co3 0.375 0.301 0.750  1.71
Co4 0.875 0.949 0.750  1.75

## Properties
Formation energy without anion corrections ... 0.50 eV per atom
Space group ... I-42d

# 4
Entry from the Alexandria database: an optimized crystal structure of Co2SbAu2 (PBE).

Lattice parameters (Å, degrees): 6.397 6.397 4.010 90.00 90.00 90.00
Site moments in Bohr magnetons follow the coordinates.
Sites, in units of the cell vectors:
Sb1 0.000 0.000 0.000  -0.03
Sb2 0.500 0.500 0.000  -0.03
Au1 0.164 0.664 0.500  0.00
Au2 0.664 0.836 0.500  0.00
Au3 0.836 0.336 0.500  0.00
Au4 0.336 0.164 0.500  0.00
Co1 0.371 0.871 0.000  1.23
Co2 0.871 0.629 0.000  1.25
Co3 0.629 0.129 0.000  1.23
Co4 0.129 0.371 0.000  1.25

## Properties
Formation energy without anion corrections ... 0.18 eV per atom
Space group ... P4/mbm

# 5
Entry from the Alexandria database: an optimized crystal structure of CoSb2Au (PBE).

Lattice parameters (Å, degrees): 4.812 4.812 4.812 60.00 60.00 60.00
Sites, in units of the cell vectors:
Sb1 0.250 0.250 0.250
Sb2 0.750 0.750 0.750
Au1 0.500 0.500 0.500
Co1 0.000 0.000 0.000

## Properties
Energy relative to the lowest polymorph listed for this composition ... 281 meV per atom
Formation energy without anion corrections ... 0.36 eV per atom
Space group ... Fm-3m

# 6
Entry from the Alexandria database: an optimized crystal structure of Co2SbAu (PBE).

Lattice parameters (Å, degrees): 3.560 4.101 4.101 90.00 90.00 90.00
Site moments in Bohr magnetons follow the coordinates.
Sites, in units of the cell vectors:
Au1 0.500 0.000 0.500  0.04
Co1 0.000 0.000 0.000  1.00
Co2 0.000 0.500 0.500  1.00
Sb1 0.500 0.500 0.000  -0.03

## Properties
Formation energy without anion corrections ... 0.21 eV per atom
Space group ... P4/mmm

# 7
Entry from the Alexandria database: an optimized crystal structure of CoSb2Au (PBE).

Lattice parameters (Å, degrees): 5.047 5.047 8.301 72.30 72.30 90.00
Sites, in units of the cell vectors:
Sb1 0.578 0.125 0.250
Sb2 0.172 0.625 0.250
Sb3 0.375 0.422 0.750
Sb4 0.875 0.828 0.750
Au1 0.000 0.000 0.000
Au2 0.750 0.250 0.500
Co1 0.500 0.500 0.000
Co2 0.250 0.750 0.500

## Properties
Energy relative to the lowest polymorph listed for this composition ... 127 meV per atom
Formation energy without anion corrections ... 0.21 eV per atom
Space group ... I-42d

# 8
Entry from the Alexandria database: an optimized crystal structure of Co2SbAu (PBE).

Lattice parameters (Å, degrees): 4.068 3.277 5.016 70.79 90.00 90.00
Site moments in Bohr magnetons follow the coordinates.
Sites, in units of the cell vectors:
Au1 0.500 0.772 0.833  0.03
Co1 0.000 0.202 0.973  1.25
Co2 0.500 0.050 0.274  1.23
Sb1 0.000 0.476 0.420  -0.03

## Properties
Formation energy without anion corrections ... 0.21 eV per atom
Space group ... Pm

Q: Among the records above, which one has the lowest formation energy without anion corrections?
A: Co2SbAu2

Q: Which value of formation energy without anion corrections does entry 8 give?
A: 0.21 eV per atom

Q: What is the formation energy without anion corrections in the third record?
A: 0.50 eV per atom

Q: Which of these has the highest formation energy without anion corrections?
A: number 3